Record 1
DFT (PBE-GGA) results for a relaxed structure of Pm3TmTl3Se8.

Values from the calculation:
* space group: R-3m (166)

Cell: 8.4910 8.4919 9.0624 Å, 117.93 90.00 120.01°
Atoms (fractional coordinates):
Pm: 0.5000 0.0000 0.5000
Pm: 0.5000 0.5000 0.5000
Pm: 0.0000 0.5000 0.5000
Tm: 0.0000 0.0000 0.5000
Tl: 0.0000 0.0000 0.0000
Tl: 0.0000 0.5000 0.0000
Tl: 0.5000 0.5000 0.0000
Se: 0.2617 0.5237 0.2858
Se: 0.7383 0.4763 0.7143
Se: 0.7689 0.5380 0.2921
Se: 0.2311 0.4620 0.7079
Se: 0.7691 0.0230 0.2922
Se: 0.2309 0.9770 0.7078
Se: 0.2538 0.0231 0.2923
Se: 0.7462 0.9769 0.7077

=====

Record 2
DFT (PBE-GGA) results for a relaxed structure of PmU2Tl3Se6.

Values from the calculation:
* space group: C2/m (12)

Cell: 7.3025 7.3025 8.2048 Å, 98.53 98.53 120.00°
Atoms (fractional coordinates):
Pm: 0.0000 0.0000 0.0000
U: 0.3331 0.6669 0.0000
U: 0.6669 0.3331 0.0000
Tl: 0.1654 0.8346 0.5000
Tl: 0.8346 0.1654 0.5000
Tl: 0.5000 0.5000 0.5000
Se: 0.9307 0.5907 0.7925
Se: 0.7284 0.7284 0.2060
Se: 0.0693 0.4093 0.2075
Se: 0.5907 0.9307 0.7925
Se: 0.2716 0.2716 0.7940
Se: 0.4093 0.0693 0.2075

=====

Record 3
DFT (PBE-GGA) results for a relaxed structure of Pm2UTl2Se6.

Values from the calculation:
* space group: C2/m (12)

Cell: 7.3399 7.3399 8.1766 Å, 98.80 98.80 120.01°
Atoms (fractional coordinates):
Pm: 0.3329 0.6671 0.5000
Pm: 0.6671 0.3329 0.5000
U: 0.0000 0.0000 0.5000
Tl: 0.8308 0.1692 0.0000
Tl: 0.1692 0.8308 0.0000
Se: 0.7502 0.7502 0.7052
Se: 0.0682 0.3915 0.7045
Se: 0.2498 0.2498 0.2948
Se: 0.3915 0.0682 0.7045
Se: 0.9318 0.6085 0.2955
Se: 0.6085 0.9318 0.2955

=====

Record 4
DFT (PBE-GGA) results for a relaxed structure of PmU2Tl2Se6.

Values from the calculation:
* space group: C2/m (12)

Cell: 7.2754 7.2754 8.1767 Å, 98.30 98.30 120.15°
Atoms (fractional coordinates):
Pm: 0.0000 0.0000 0.5000
U: 0.3339 0.6661 0.5000
U: 0.6661 0.3339 0.5000
Tl: 0.8361 0.1639 0.0000
Tl: 0.1639 0.8361 0.0000
Se: 0.7246 0.7246 0.7041
Se: 0.0648 0.4081 0.7035
Se: 0.2754 0.2754 0.2959
Se: 0.4081 0.0648 0.7035
Se: 0.9352 0.5919 0.2965
Se: 0.5919 0.9352 0.2965

=====

Record 5
DFT (PBE-GGA) results for a relaxed structure of Pm2YTl3Se6.

Values from the calculation:
* space group: C2/m (12)

Cell: 7.3784 7.3784 8.1452 Å, 98.69 98.69 119.99°
Atoms (fractional coordinates):
Pm: 0.3334 0.6666 0.0000
Pm: 0.6666 0.3334 0.0000
Y: 0.0000 0.0000 0.0000
Tl: 0.1679 0.8321 0.5000
Tl: 0.8321 0.1679 0.5000
Tl: 0.5000 0.5000 0.5000
Se: 0.9309 0.6036 0.7926
Se: 0.7423 0.7423 0.2089
Se: 0.0691 0.3964 0.2074
Se: 0.6036 0.9309 0.7926
Se: 0.2577 0.2577 0.7911
Se: 0.3964 0.0691 0.2074

=====

Record 6
DFT (PBE-GGA) results for a relaxed structure of PmY2Tl3Se6.

Values from the calculation:
* space group: C2/m (12)

Cell: 7.3189 7.3189 8.1400 Å, 98.62 98.62 119.99°
Atoms (fractional coordinates):
Pm: 0.0000 0.0000 0.0000
Y: 0.3333 0.6667 0.0000
Y: 0.6667 0.3333 0.0000
Tl: 0.1655 0.8345 0.5000
Tl: 0.8345 0.1655 0.5000
Tl: 0.5000 0.5000 0.5000
Se: 0.9311 0.5917 0.7932
Se: 0.7291 0.7291 0.2054
Se: 0.0689 0.4083 0.2068
Se: 0.5917 0.9311 0.7932
Se: 0.2709 0.2709 0.7946
Se: 0.4083 0.0689 0.2068

=====

It is found that the density values, taken in the order of the records, are 6.45, 7.84, 6.45, 6.97, 6.65, 6.50 g/cm³.
It is found that the energy relative to the elements, uncorrected values, taken in the order of the records, are -1.38, -1.04, -1.31, -1.15, -1.39, -1.39 eV/atom.